Computed, not measured: BeCdPd4 after structural relaxation at the PBE level of DFT.

a = 2.8477 Å, b = 2.8477 Å, c = 10.8534 Å
α = 90.00°, β = 90.00°, γ = 90.00°
Fractional positions:
1 Be 0.0000 0.0000 0.0000
2 Cd 0.5000 0.5000 0.5000
3 Pd 0.0000 0.0000 0.3132
4 Pd 0.0000 0.0000 0.6868
5 Pd 0.5000 0.5000 0.1280
6 Pd 0.5000 0.5000 0.8720

Output
Magnetic moment = 0.000 μB/f.u.
E_tot = -4.601 eV/atom
DOS at the Fermi energy = 0.55 states/eV/atom



Computed, not measured: Te3Pd4Se2 after structural relaxation at the PBE level of DFT.

a = 6.5426 Å, b = 6.5426 Å, c = 8.6677 Å
α = 110.77°, β = 110.77°, γ = 34.66°
Fractional positions:
1 Te 0.0000 0.0000 0.0000
2 Te 0.3673 0.3673 0.5974
3 Te 0.6327 0.6327 0.4026
4 Pd 0.0235 0.0235 0.6842
5 Pd 0.3330 0.3330 0.8826
6 Pd 0.6670 0.6670 0.1174
7 Pd 0.9765 0.9765 0.3158
8 Se 0.3295 0.3295 0.1751
9 Se 0.6705 0.6705 0.8249

Output
Magnetic moment = 0.000 μB/f.u.
E_tot = -4.399 eV/atom
DOS at the Fermi energy = 0.44 states/eV/atom
Raw formation energy = -270 meV/atom